Computed, not measured: Cs2K5NaHg after structural relaxation at the PBE level of DFT.

It has space group I4mm (No. 107), with a = 9.517 Å, b = 9.517 Å, c = 13.609 Å, α = 90.00°, β = 90.00° and γ = 90.00°. The distinct sites, in fractional coordinates, are Cs at (0.000, 0.500, 0.000), K at (0.000, 0.000, 0.474), K at (0.241, 0.241, 0.746), Na at (0.000, 0.000, 0.976) and Hg at (0.000, 0.000, 0.206).

The calculation puts the total magnetization at 0.000 μB/cell. Its formation energy is -0.03 eV/atom. For the energy, the calculation gives -18.18 eV per cell. Its density of states at the Fermi level is 0.620 states/eV per atom.


Computed, not measured: CsKNa2Hg2 after structural relaxation at the PBE level of DFT.

It has space group P-3m1 (No. 164), with a = 5.6538 Å, b = 5.6538 Å, c = 9.0223 Å, α = 90.00°, β = 90.00° and γ = 120.00°. The distinct sites, in fractional coordinates, are Cs at (0.0000, 0.0000, 0.0000), K at (0.0000, 0.0000, 0.5000), Na at (0.3333, 0.6667, 0.6873) and Hg at (0.3333, 0.6667, 0.2941).

The calculation puts the total magnetization at 0.000 μB/cell. Its formation energy is -0.17 eV/atom. For the energy, the calculation gives -6.20 eV per cell. Its density of states at the Fermi level is 0.275 states/eV per atom.


Computed, not measured: CsK2Na2Hg2 after structural relaxation at the PBE level of DFT.

It has space group C2/m (No. 12), with a = 12.698 Å, b = 4.829 Å, c = 11.775 Å, α = 90.00°, β = 112.13° and γ = 90.00°. The distinct sites, in fractional coordinates, are Cs at (0.000, 0.000, 0.000), K at (0.134, 0.500, 0.730), Na at (0.134, 0.000, 0.451) and Hg at (0.156, 0.500, 0.277).

The calculation puts the total magnetization at 0.000 μB/cell. Its formation energy is -0.15 eV/atom. For the energy, the calculation gives -14.71 eV per cell. Its density of states at the Fermi level is 0.349 states/eV per atom.


Computed, not measured: Cs2KNaHg after structural relaxation at the PBE level of DFT.

It has space group P4/mmm (No. 123), with a = 7.434 Å, b = 7.434 Å, c = 6.242 Å, α = 90.00°, β = 90.00° and γ = 90.00°. The distinct sites, in fractional coordinates, are Cs at (0.000, 0.500, 0.000), K at (0.000, 0.000, 0.500), Na at (0.500, 0.500, 0.500) and Hg at (0.500, 0.500, 0.000).

The calculation puts the total magnetization at 0.000 μB/cell. The polymorph energy (0 for the lowest one) is 0 meV per atom. Its formation energy is -0.06 eV/atom. For the energy, the calculation gives -4.72 eV per cell. Its density of states at the Fermi level is 0.798 states/eV per atom.


Computed, not measured: Cs2KNaHg after structural relaxation at the PBE level of DFT.

It has space group P4/mmm (No. 123), with a = 7.848 Å, b = 7.848 Å, c = 5.928 Å, α = 90.00°, β = 90.00° and γ = 90.00°. The distinct sites, in fractional coordinates, are Cs at (0.000, 0.500, 0.000), K at (0.000, 0.000, 0.500), Na at (0.500, 0.500, 0.000) and Hg at (0.500, 0.500, 0.500).

The calculation puts the total magnetization at 0.000 μB/cell. The polymorph energy (0 for the lowest one) is 88 meV per atom. Its formation energy is 0.03 eV/atom. For the energy, the calculation gives -4.28 eV per cell. Its density of states at the Fermi level is 0.516 states/eV per atom.


Computed, not measured: Cs2KNaHg after structural relaxation at the PBE level of DFT.

It has space group P4/mmm (No. 123), with a = 7.326 Å, b = 7.326 Å, c = 6.837 Å, α = 90.00°, β = 90.00° and γ = 90.00°. The distinct sites, in fractional coordinates, are Cs at (0.000, 0.500, 0.000), K at (0.000, 0.000, 0.500), Na at (0.500, 0.500, 0.500) and Hg at (0.000, 0.000, 0.000).

The calculation puts the total magnetization at 0.000 μB/cell. The polymorph energy (0 for the lowest one) is 36 meV per atom. Its formation energy is -0.02 eV/atom. For the energy, the calculation gives -4.54 eV per cell. Its density of states at the Fermi level is 1.104 states/eV per atom.


Computed, not measured: CsKNa4Hg2 after structural relaxation at the PBE level of DFT.

It has space group P4/mmm (No. 123), with a = 5.057 Å, b = 5.057 Å, c = 13.925 Å, α = 90.00°, β = 90.00° and γ = 90.00°. The distinct sites, in fractional coordinates, are Cs at (0.000, 0.000, 0.000), K at (0.000, 0.000, 0.500), Na at (0.000, 0.500, 0.262) and Hg at (0.500, 0.500, 0.116).

The calculation puts the total magnetization at 0.000 μB/cell. Its formation energy is -0.09 eV/atom. For the energy, the calculation gives -8.53 eV per cell. Its density of states at the Fermi level is 0.442 states/eV per atom.


Computed, not measured: CsKNaHg after structural relaxation at the PBE level of DFT.

It has space group F-43m (No. 216), with a = 9.381 Å, b = 9.381 Å, c = 9.381 Å, α = 90.00°, β = 90.00° and γ = 90.00°. The distinct sites, in fractional coordinates, are Cs at (0.000, 0.000, 0.000), K at (0.000, 0.000, 0.500), Na at (0.250, 0.250, 0.750) and Hg at (0.250, 0.250, 0.250).

The calculation puts the total magnetization at 0.000 μB/cell. The polymorph energy (0 for the lowest one) is 31 meV per atom. Its formation energy is -0.08 eV/atom. For the energy, the calculation gives -15.59 eV per cell. Its density of states at the Fermi level is 0.598 states/eV per atom.


Computed, not measured: Cs2K5Na2Hg after structural relaxation at the PBE level of DFT.

It has space group P4/mbm (No. 127), with a = 16.291 Å, b = 16.291 Å, c = 4.787 Å, α = 90.00°, β = 90.00° and γ = 90.00°. The distinct sites, in fractional coordinates, are Cs at (0.177, 0.323, 0.000), K at (0.000, 0.500, 0.500), K at (0.050, 0.824, 0.500), Na at (0.135, 0.635, 0.000) and Hg at (0.000, 0.000, 0.000).

The calculation puts the total magnetization at 0.000 μB/cell. Its formation energy is -0.02 eV/atom. For the energy, the calculation gives -20.68 eV per cell. Its density of states at the Fermi level is 0.783 states/eV per atom.


Computed, not measured: CsKNiHg2 after structural relaxation at the PBE level of DFT.

It has space group P4/mmm (No. 123), with a = 5.344 Å, b = 5.344 Å, c = 5.778 Å, α = 90.00°, β = 90.00° and γ = 90.00°. The distinct sites, in fractional coordinates, are Cs at (0.000, 0.000, 0.000), K at (0.500, 0.500, 0.000), Ni at (0.500, 0.500, 0.500) and Hg at (0.000, 0.500, 0.500).

The calculation puts the total magnetization at 0.000 μB/cell. Its formation energy is 0.03 eV/atom. For the energy, the calculation gives -8.17 eV per cell. Its density of states at the Fermi level is 0.451 states/eV per atom.


Computed, not measured: CsK6Hg2O after structural relaxation at the PBE level of DFT.

It has space group R-3m (No. 166, hexagonal axes), with a = 9.9970 Å, b = 9.9970 Å, c = 35.4892 Å, α = 90.00°, β = 90.00° and γ = 120.00°. The distinct sites, in fractional coordinates, are Cs at (0.0000, 0.0000, 0.0731), K at (0.0545, 0.5272, 0.3623), K at (0.0840, 0.5420, 0.2087), Hg at (0.0000, 0.0000, 0.2021), Hg at (0.0000, 0.0000, 0.3768), O at (0.0000, 0.0000, 0.0000) and O at (0.0000, 0.0000, 0.5000).

The uncorrected formation energy is -0.27 eV per atom. The calculation puts the total magnetization at 0.000 μB/cell. For the energy, the calculation gives -93.93 eV per cell. Its density of states at the Fermi level is 0.368 states/eV per atom.


Computed, not measured: Cs5KHg2O after structural relaxation at the PBE level of DFT.

It has space group I4mm (No. 107), with a = 8.942 Å, b = 8.942 Å, c = 12.119 Å, α = 90.00°, β = 90.00° and γ = 90.00°. The distinct sites, in fractional coordinates, are Cs at (0.000, 0.000, 0.000), Cs at (0.230, 0.230, 0.234), K at (0.000, 0.000, 0.452), Hg at (0.000, 0.500, 0.483) and O at (0.000, 0.000, 0.232).

The uncorrected formation energy is -0.43 eV per atom. The calculation puts the total magnetization at 0.000 μB/cell. For the energy, the calculation gives -29.51 eV per cell. Its density of states at the Fermi level is 0.717 states/eV per atom.


Question: Among the records above, which one has the lowest energy?
Answer: CsK6Hg2O